1.
## MnAl12 (PBE)

Data for a geometry-optimized MnAl12 structure.

Cell: 6.4787 6.4787 6.4787 Å, 109.47 109.47 109.47°
Sites, in units of the cell vectors:
Mn 0.0000 0.0000 0.0000
Al 0.1169 0.8133 0.3036
Al 0.1867 0.3036 0.4903
Al 0.1867 0.6964 0.8831
Al 0.3036 0.1169 0.8133
Al 0.3036 0.4903 0.1867
Al 0.4903 0.1867 0.3036
Al 0.5097 0.8133 0.6964
Al 0.6964 0.5097 0.8133
Al 0.6964 0.8831 0.1867
Al 0.8133 0.3036 0.1169
Al 0.8133 0.6964 0.5097
Al 0.8831 0.1867 0.6964

Properties
* E: -4.2544 eV/atom
* DFT formation energy: -94 meV/atom
* symmetry: Im-3 (204)

2.
## Mn3Al (PBE)

Data for a geometry-optimized Mn3Al structure.

Cell: 8.3126 8.3126 8.3126 Å, 17.95 17.95 17.95°
Sites, in units of the cell vectors:
Mn 0.0000 0.0000 0.0000
Mn 0.2537 0.2537 0.2537
Mn 0.7463 0.7463 0.7463
Al 0.5000 0.5000 0.5000

Properties
* E: -7.7683 eV/atom
* DFT formation energy: 45 meV/atom
* symmetry: R-3m (166)

3.
## Mn6Al (PBE)

Data for a geometry-optimized Mn6Al structure.

Cell: 5.1999 5.1999 5.1999 Å, 109.47 109.47 109.47°
Sites, in units of the cell vectors:
Mn 0.2500 0.5000 0.7500
Mn 0.2500 0.7500 0.5000
Mn 0.5000 0.2500 0.7500
Mn 0.5000 0.7500 0.2500
Mn 0.7500 0.2500 0.5000
Mn 0.7500 0.5000 0.2500
Al 0.0000 0.0000 0.0000

Properties
* E: -7.2729 eV/atom
* DFT formation energy: 1121 meV/atom
* symmetry: Im-3m (229)

4.
## Mn3Al (PBE)

Data for a geometry-optimized Mn3Al structure.

Cell: 4.4143 4.4143 2.6636 Å, 90.00 90.00 105.24°
Sites, in units of the cell vectors:
Mn 0.0000 0.0000 0.0000
Mn 0.0000 0.5000 0.5000
Mn 0.5000 0.0000 0.5000
Al 0.5000 0.5000 0.0000

Properties
* E: -7.9027 eV/atom
* DFT formation energy: -90 meV/atom
* symmetry: Cmmm (65)

5.
## Mn5Al3 (PBE)

Data for a geometry-optimized Mn5Al3 structure.

Cell: 7.2184 7.2184 4.7074 Å, 90.00 90.00 120.00°
Sites, in units of the cell vectors:
Mn 0.0000 0.2334 0.2500
Mn 0.0000 0.7666 0.7500
Mn 0.2334 0.0000 0.2500
Mn 0.2334 0.2334 0.7500
Mn 0.3333 0.6667 0.0000
Mn 0.3333 0.6667 0.5000
Mn 0.6667 0.3333 0.0000
Mn 0.6667 0.3333 0.5000
Mn 0.7666 0.0000 0.7500
Mn 0.7666 0.7666 0.2500
Al 0.0000 0.4013 0.7500
Al 0.0000 0.5987 0.2500
Al 0.4013 0.0000 0.7500
Al 0.4013 0.4013 0.2500
Al 0.5987 0.0000 0.2500
Al 0.5987 0.5987 0.7500

Properties
* E: -7.1791 eV/atom
* DFT formation energy: -45 meV/atom
* symmetry: P6_3/mcm (193)

6.
## Mn5Al (PBE)

Data for a geometry-optimized Mn5Al structure.

Cell: 4.5538 4.5538 4.1328 Å, 90.00 90.00 120.00°
Sites, in units of the cell vectors:
Mn 0.0000 0.5000 0.0000
Mn 0.3333 0.6667 0.5000
Mn 0.5000 0.0000 0.0000
Mn 0.5000 0.5000 0.0000
Mn 0.6667 0.3333 0.5000
Al 0.0000 0.0000 0.5000

Properties
* excess energy over the best structure of this formula in the dataset: 307 meV/atom
* E: -8.0349 eV/atom
* DFT formation energy: 230 meV/atom
* symmetry: P6/mmm (191)

7.
## Mn5Al (PBE)

Data for a geometry-optimized Mn5Al structure.

Cell: 6.2381 6.2381 4.0315 Å, 90.00 90.00 153.57°
Sites, in units of the cell vectors:
Mn 0.0000 0.0000 0.0000
Mn 0.1739 0.8261 0.5000
Mn 0.3383 0.6617 0.0000
Mn 0.6617 0.3383 0.0000
Mn 0.8261 0.1739 0.5000
Al 0.5000 0.5000 0.5000

Properties
* excess energy over the best structure of this formula in the dataset: 41 meV/atom
* E: -8.3006 eV/atom
* DFT formation energy: -36 meV/atom
* symmetry: Cmmm (65)

8.
## Mn3Al (PBE)

Data for a geometry-optimized Mn3Al structure.

Cell: 8.0819 8.0819 8.0819 Å, 154.74 154.74 36.02°
Sites, in units of the cell vectors:
Mn 0.0000 0.5000 0.5000
Mn 0.1279 0.1279 0.0000
Mn 0.2500 0.7500 0.5000
Mn 0.5000 0.0000 0.5000
Mn 0.7500 0.2500 0.5000
Mn 0.8721 0.8721 0.0000
Al 0.3762 0.3762 0.0000
Al 0.6238 0.6238 0.0000

Properties
* E: -7.8271 eV/atom
* DFT formation energy: -14 meV/atom
* symmetry: I4/mmm (139)

Copy entry 7 word for word.
## Mn5Al (PBE)

Data for a geometry-optimized Mn5Al structure.

Cell: 6.2381 6.2381 4.0315 Å, 90.00 90.00 153.57°
Sites, in units of the cell vectors:
Mn 0.0000 0.0000 0.0000
Mn 0.1739 0.8261 0.5000
Mn 0.3383 0.6617 0.0000
Mn 0.6617 0.3383 0.0000
Mn 0.8261 0.1739 0.5000
Al 0.5000 0.5000 0.5000

Properties
* excess energy over the best structure of this formula in the dataset: 41 meV/atom
* E: -8.3006 eV/atom
* DFT formation energy: -36 meV/atom
* symmetry: Cmmm (65)

- Among the records above, which one has the lowest DFT formation energy?
  MnAl12